! Re2HgCl, optimized geometry, DFT PBE-GGA; values from VASP
&SYSTEM
  ibrav = 0, nat = 4, ntyp = 3
/
ATOMIC_SPECIES
Cl 35.45 Cl.upf
Hg 200.59 Hg.upf
Re 186.21 Re.upf
CELL_PARAMETERS angstrom
2.9681 0.0000 0.0000
0.0000 2.9681 0.0000
0.0000 0.0000 8.6299
ATOMIC_POSITIONS angstrom
Cl 0.0000 0.0000 3.7630
Hg 1.4840 1.4840 6.8597
Re 0.0000 0.0000 0.3963
Re 1.4840 1.4840 1.9259
! Calculated density: 13.3 g/cm³
! Relative energy among the computed polymorphs: 131 meV/atom
! SG: P4mm (99)

! LiTlSi, optimized geometry, DFT PBE-GGA; values from VASP
&SYSTEM
  ibrav = 0, nat = 6, ntyp = 3
/
ATOMIC_SPECIES
Tl 204.38 Tl.upf
Si 28.09 Si.upf
Li 6.94 Li.upf
CELL_PARAMETERS angstrom
-5.6869 1.4287 -4.1889
-2.1090 -2.2384 2.0998
-0.2339 3.6742 3.6818
ATOMIC_POSITIONS angstrom
Tl -1.2244 0.6479 1.1120
Tl -6.8054 2.2165 0.4808
Si -3.7556 2.5819 0.6314
Si -4.2742 0.2825 0.9614
Li -4.2989 0.9782 -1.6239
Li -3.7309 1.8862 3.2167
! Calculated density: 5.9 g/cm³
! SG: P2_1/m (11)

! LiTlTe4, optimized geometry, DFT PBE-GGA; values from VASP
&SYSTEM
  ibrav = 0, nat = 6, ntyp = 3
/
ATOMIC_SPECIES
Li 6.94 Li.upf
Tl 204.38 Tl.upf
Te 127.60 Te.upf
CELL_PARAMETERS angstrom
0.0000 4.6179 4.6179
4.6179 0.0000 4.6179
4.6179 4.6179 0.0000
ATOMIC_POSITIONS angstrom
Li 0.0000 0.0000 0.0000
Tl 6.9268 6.9268 6.9268
Te 3.4612 5.7746 5.7746
Te 5.7746 5.7746 3.4612
Te 5.7746 3.4612 5.7746
Te 3.4612 3.4612 3.4612
! Calculated density: 6.1 g/cm³
! SG: F-43m (216)

! Pu3Si3Os, optimized geometry, DFT PBE-GGA; values from VASP
&SYSTEM
  ibrav = 0, nat = 14, ntyp = 3
/
ATOMIC_SPECIES
Pu 244.00 Pu.upf
Si 28.09 Si.upf
Os 190.23 Os.upf
CELL_PARAMETERS angstrom
4.2136 0.0000 0.6347
2.0817 5.2084 0.4840
0.2410 0.0286 12.7034
ATOMIC_POSITIONS angstrom
Pu 3.0282 1.8263 8.5039
Pu 3.5081 3.4107 5.3182
Pu 1.6939 1.6037 3.0584
Pu 4.8424 3.6334 10.7638
Pu 2.5027 1.4428 11.9928
Pu 4.0337 3.7942 1.8293
Si 5.2795 3.7516 7.8619
Si 1.2568 1.4854 5.9602
Si 2.4600 4.4568 12.2762
Si 4.0763 0.7803 1.5459
Si 5.8458 4.6953 4.1027
Si 0.6905 0.5418 9.7195
Os 3.4299 0.4245 5.8373
Os 3.1064 4.8126 7.9849
! Calculated density: 12.0 g/cm³
! SG: C2/m (12)

V across the listed records, respectively: 19.01, 22.63, 32.82, 19.86 A^3/atom.
Energy relative to the elements, uncorrected across the listed records, respectively: 0.31, -0.03, -0.01, -0.45 eV/atom.
Total magnetization across the listed records, respectively: 0.00, 0.00, 0.00, 6.25 μB/f.u..